Density functional theory data (meta-GGA SCAN) for a PBEsol-optimized structure of ZrRe2.

a = 2.774 Å, b = 2.774 Å, c = 6.959 Å
α = 97.35°, β = 97.35°, γ = 110.97°
Fractional coordinates of all 3 atoms:
Re 0.328 0.328 0.655
Re 0.672 0.672 0.345
Zr 0.000 0.000 0.000

* space group: Fmmm
* DOS(E_F): 1.798 states/eV/cell
* M_tot: 0.0 μB per formula unit
* E_tot: -172.8 eV/cell